[1]
Computed, not measured: an optimized crystal structure of Mg2TcOs at the PBE level of DFT.

abc: 4.7027 4.7027 5.0757
angles: 83.37 83.37 35.35
Sites, in units of the cell vectors:
Mg (0.9959, 0.9959, 0.9952)
Mg (0.7566, 0.7566, 0.7527)
Os (0.5039, 0.5039, 0.4679)
Tc (0.2436, 0.2436, 0.2841)

ΔH_f (0 K): 0.9 eV per formula unit
Symmetry: Cm, No. 8

[2]
Computed, not measured: an optimized crystal structure of K2LaMn at the PBE level of DFT.

abc: 5.9995 5.9995 5.9995
angles: 120.02 120.02 89.97
Site moments in Bohr magnetons follow the coordinates.
Sites, in units of the cell vectors:
K (0.0000, 0.0000, 0.0000)  -0.03
K (0.2500, 0.7500, 0.5000)  -0.05
La (0.5000, 0.5000, 0.0000)  -0.54
Mn (0.7500, 0.2500, 0.5000)  4.04

ΔH_f (0 K): 3.3 eV per formula unit
Symmetry: F-43m, No. 216

[3]
Computed, not measured: an optimized crystal structure of NaZnSiO4 at the PBE level of DFT.

abc: 5.0258 5.0258 5.4128
angles: 117.66 117.66 90.00
Site moments in Bohr magnetons follow the coordinates.
Sites, in units of the cell vectors:
Na (0.0000, 0.0000, 0.0000)  0.00
Zn (0.2500, 0.7500, 0.5000)  0.08
Si (0.5000, 0.5000, 0.0000)  -0.01
O (0.2401, 0.1613, 0.7818)  0.20
O (0.3795, 0.7599, 0.2182)  0.20
O (0.5417, 0.6205, 0.7818)  0.20
O (0.8387, 0.4583, 0.2182)  0.20

Symmetry: I-4, No. 82
Total DFT energy (no corrections): -5.835 eV per atom

[4]
Computed, not measured: an optimized crystal structure of AgTeCl at the PBE level of DFT.

abc: 6.3119 4.9648 6.3345
angles: 89.01 77.59 88.96
Sites, in units of the cell vectors:
Ag (0.0909, 0.1224, 0.3257)
Ag (0.6296, 0.1228, 0.7869)
Te (0.2654, 0.8248, 0.9619)
Te (0.4551, 0.4205, 0.1508)
Cl (0.0157, 0.3069, 0.7106)
Cl (0.7048, 0.9383, 0.4021)

Symmetry: P-1, No. 2
Total DFT energy (no corrections): -2.878 eV per atom

[5]
Computed, not measured: an optimized crystal structure of NpZnGePt at the PBE level of DFT.

abc: 4.7294 4.7294 4.7294
angles: 60.00 60.00 60.00
Site moments in Bohr magnetons follow the coordinates.
Sites, in units of the cell vectors:
Np (0.0000, 0.0000, 0.0000)  3.50
Ge (0.2500, 0.2500, 0.2500)  0.00
Zn (0.5000, 0.5000, 0.5000)  0.00
Pt (0.7500, 0.7500, 0.7500)  -0.11

ΔH_f (0 K): -1.1 eV per formula unit
Symmetry: F-43m, No. 216

[6]
Computed, not measured: an optimized crystal structure of TiBePd2O at the PBE level of DFT.

abc: 3.9833 4.7256 3.9833
angles: 90.00 90.00 90.00
Sites, in units of the cell vectors:
Be (0.0000, 0.0000, 0.0000)
O (0.5000, 0.5000, 0.5000)
Pd (0.0000, 0.0000, 0.5000)
Pd (0.5000, 0.0000, 0.0000)
Ti (0.0000, 0.5000, 0.0000)

Symmetry: P4/mmm, No. 123
Total DFT energy (no corrections): -5.050 eV per atom

[7]
Computed, not measured: an optimized crystal structure of Ho4Er5Sc2 at the PBE level of DFT.

abc: 3.4261 8.9552 12.1429
angles: 111.64 98.11 90.00
Sites, in units of the cell vectors:
Ho (0.0000, 0.3071, 0.0000)
Ho (0.5989, 0.5989, 0.1977)
Ho (0.0000, 0.6929, 0.0000)
Ho (0.4011, 0.4011, 0.8023)
Er (0.8493, 0.0513, 0.6986)
Er (0.8493, 0.6473, 0.6986)
Er (0.1507, 0.3527, 0.3014)
Er (0.1507, 0.9487, 0.3014)
Er (0.5000, 0.0000, 0.0000)
Sc (0.2700, 0.2700, 0.5399)
Sc (0.7300, 0.7300, 0.4601)

ΔH_f (0 K): 3.0 eV per formula unit
Symmetry: Immm, No. 71

[8]
Computed, not measured: an optimized crystal structure of ReMoRhSe2 at the PBE level of DFT.

abc: 4.7836 4.7663 4.7836
angles: 90.00 90.00 90.00
Site moments in Bohr magnetons follow the coordinates.
Sites, in units of the cell vectors:
Re (0.5000, 0.5000, 0.5000)  3.05
Mo (0.0000, 0.5000, 0.0000)  -2.06
Rh (0.0000, 0.0000, 0.0000)  -0.02
Se (0.0000, 0.0000, 0.5000)  -0.07
Se (0.5000, 0.0000, 0.0000)  -0.11

Symmetry: P4/mmm, No. 123
Total DFT energy (no corrections): -5.888 eV per atom

[9]
Computed, not measured: an optimized crystal structure of IrRu2 at the PBE level of DFT.

abc: 3.8380 5.4193 8.1428
angles: 90.00 90.00 90.00
Sites, in units of the cell vectors:
Ir (0.7500, 0.8737, 0.0847)
Ir (0.2500, 0.6263, 0.5847)
Ir (0.7500, 0.3737, 0.4153)
Ir (0.2500, 0.1263, 0.9153)
Ru (0.7500, 0.3751, 0.7522)
Ru (0.2500, 0.1249, 0.2522)
Ru (0.7500, 0.8751, 0.7478)
Ru (0.2500, 0.6249, 0.2478)
Ru (0.7500, 0.3773, 0.0827)
Ru (0.2500, 0.1227, 0.5827)
Ru (0.7500, 0.8773, 0.4173)
Ru (0.2500, 0.6227, 0.9173)

ΔH_f (0 K): 0.0 eV per formula unit
Symmetry: Pnma, No. 62

[10]
Computed, not measured: an optimized crystal structure of Cs2NpSbTe4 at the PBE level of DFT.

abc: 9.7727 9.7727 9.6723
angles: 119.67 119.67 89.92
Site moments in Bohr magnetons follow the coordinates.
Sites, in units of the cell vectors:
Cs (0.5000, 0.0000, 0.0000)  -0.01
Cs (0.5000, 0.0000, 0.5000)  -0.01
Cs (0.0000, 0.0000, 0.5000)  0.00
Cs (0.5000, 0.5000, 0.0000)  0.00
Np (0.0000, 0.5000, 0.0000)  3.98
Np (0.0000, 0.5000, 0.5000)  3.98
Sb (0.5000, 0.5000, 0.5000)  0.04
Sb (0.0000, 0.0000, 0.0000)  0.04
Te (0.1866, 0.7299, 0.9583)  -0.06
Te (0.7701, 0.3134, 0.5417)  -0.06
Te (0.2299, 0.6866, 0.4583)  -0.06
Te (0.8134, 0.2701, 0.0417)  -0.06
Te (0.7712, 0.7287, 0.9581)  -0.03
Te (0.7713, 0.7288, 0.5419)  -0.03
Te (0.2287, 0.2712, 0.4581)  -0.03
Te (0.2288, 0.2713, 0.0419)  -0.03

Symmetry: Imma, No. 74
Total DFT energy (no corrections): -4.565 eV per atom

[11]
Computed, not measured: an optimized crystal structure of YFe2Pt at the PBE level of DFT.

abc: 3.9281 3.9835 4.2142
angles: 90.00 90.00 90.00
Site moments in Bohr magnetons follow the coordinates.
Sites, in units of the cell vectors:
Fe (0.0000, 0.0000, 0.0000)  2.51
Fe (0.5000, 0.5000, 0.0000)  2.46
Pt (0.5000, 0.0000, 0.5000)  0.04
Y (0.0000, 0.5000, 0.5000)  -0.22

ΔH_f (0 K): -0.7 eV per formula unit
Symmetry: Pmmm, No. 47

[12]
Computed, not measured: an optimized crystal structure of BaAcGeN3 at the PBE level of DFT.

abc: 3.7085 6.4704 10.8068
angles: 90.00 90.00 106.65
Sites, in units of the cell vectors:
Ba (0.7496, 0.4991, 0.7500)
Ba (0.2504, 0.5009, 0.2500)
Ac (0.0000, 0.0000, 0.5000)
Ac (0.0000, 0.0000, 0.0000)
Ge (0.4686, 0.9372, 0.7500)
Ge (0.5314, 0.0628, 0.2500)
N (0.6127, 0.2254, 0.3923)
N (0.3873, 0.7746, 0.6077)
N (0.3873, 0.7746, 0.8923)
N (0.6127, 0.2254, 0.1077)
N (0.0632, 0.1263, 0.7500)
N (0.9368, 0.8737, 0.2500)

Symmetry: Cmcm, No. 63
Total DFT energy (no corrections): -6.489 eV per atom

[13]
Computed, not measured: an optimized crystal structure of Y6ErTm2 at the PBE level of DFT.

abc: 11.0163 9.4888 9.4888
angles: 75.60 50.57 50.57
Sites, in units of the cell vectors:
Y (0.6029, 0.3961, 0.5934)
Y (0.8971, 0.4066, 0.6039)
Y (0.3971, 0.6039, 0.4066)
Y (0.1029, 0.5934, 0.3961)
Y (0.7760, 0.0168, 0.3358)
Y (0.7240, 0.6642, 0.9832)
Y (0.2240, 0.9832, 0.6642)
Y (0.2760, 0.3358, 0.0168)
Y (0.3188, 0.7090, 0.9844)
Y (0.1812, 0.0156, 0.2910)
Y (0.6812, 0.2910, 0.0156)
Y (0.8188, 0.9844, 0.7090)
Er (0.2500, 0.3338, 0.6662)
Er (0.7500, 0.6662, 0.3338)
Tm (0.0223, 0.7585, 0.9140)
Tm (0.4777, 0.0860, 0.2415)
Tm (0.9777, 0.2415, 0.0860)
Tm (0.5223, 0.9140, 0.7585)

ΔH_f (0 K): 0.6 eV per formula unit
Symmetry: C2/c, No. 15

[14]
Computed, not measured: an optimized crystal structure of LaNbCdAg2 at the PBE level of DFT.

abc: 5.0655 5.3408 5.0655
angles: 90.00 90.00 90.00
Site moments in Bohr magnetons follow the coordinates.
Sites, in units of the cell vectors:
Nb (0.0000, 0.5000, 0.0000)  1.49
Cd (0.0000, 0.0000, 0.0000)  0.04
Ag (0.0000, 0.0000, 0.5000)  -0.01
Ag (0.5000, 0.0000, 0.0000)  -0.01
La (0.5000, 0.5000, 0.5000)  0.09

ΔH_f (0 K): 3.6 eV per formula unit
Symmetry: P4/mmm, No. 123

[15]
Computed, not measured: an optimized crystal structure of TlNi2S at the PBE level of DFT.

abc: 4.8133 4.8133 7.6933
angles: 71.77 71.77 90.00
Sites, in units of the cell vectors:
Ni (0.4205, 0.1250, 0.2500)
Ni (0.3295, 0.6250, 0.2500)
Ni (0.3750, 0.5795, 0.7500)
Ni (0.8750, 0.6705, 0.7500)
Tl (0.0000, 0.0000, 0.0000)
Tl (0.7500, 0.2500, 0.5000)
S (0.5000, 0.5000, 0.0000)
S (0.2500, 0.7500, 0.5000)

Symmetry: I-42d, No. 122
Total DFT energy (no corrections): -4.613 eV per atom

[16]
Computed, not measured: an optimized crystal structure of Ho6AlIn5 at the PBE level of DFT.

abc: 5.2654 7.4282 8.3236
angles: 90.00 71.56 89.99
Sites, in units of the cell vectors:
Al (0.0000, 0.0000, 0.0000)
Ho (0.8362, 0.7527, 0.3276)
Ho (0.8362, 0.2473, 0.3276)
Ho (0.5000, 0.2445, 0.0000)
Ho (0.5000, 0.7555, 0.0000)
Ho (0.1638, 0.7527, 0.6724)
Ho (0.1638, 0.2473, 0.6724)
In (0.6679, 0.5000, 0.6642)
In (0.3320, 0.0000, 0.3360)
In (0.0000, 0.5000, 0.0000)
In (0.6680, 0.0000, 0.6640)
In (0.3321, 0.5000, 0.3358)

ΔH_f (0 K): -5.2 eV per formula unit
Symmetry: Cmmm, No. 65

[17]
Computed, not measured: an optimized crystal structure of CsRb2AuO2 at the PBE level of DFT.

abc: 4.6663 6.2572 11.6707
angles: 90.00 90.00 90.00
Sites, in units of the cell vectors:
Cs (0.5000, 0.5000, 0.0000)
Cs (0.0000, 0.0000, 0.5000)
Rb (0.5000, 0.0669, 0.2279)
Rb (0.0000, 0.5669, 0.2721)
Rb (0.5000, 0.9331, 0.7721)
Rb (0.0000, 0.4331, 0.7279)
Au (0.0000, 0.0000, 0.0000)
Au (0.5000, 0.5000, 0.5000)
O (0.5000, 0.7289, 0.3753)
O (0.5000, 0.2711, 0.6247)
O (0.0000, 0.7711, 0.8753)
O (0.0000, 0.2289, 0.1247)

Symmetry: Pnnm, No. 58
Total DFT energy (no corrections): -3.647 eV per atom

[18]
Computed, not measured: an optimized crystal structure of MgBr2Cl at the PBE level of DFT.

abc: 3.4603 3.4603 11.3299
angles: 90.00 90.00 114.21
Sites, in units of the cell vectors:
Br (0.0000, 0.0000, 0.8984)
Br (0.5000, 0.5000, 0.2559)
Cl (0.0000, 0.0000, 0.6050)
Mg (0.5000, 0.5000, 0.7408)

Symmetry: Cmm2, No. 35
Total DFT energy (no corrections): -2.524 eV per atom

[19]
Computed, not measured: an optimized crystal structure of KAcI4 at the PBE level of DFT.

abc: 8.1393 8.7829 10.5712
angles: 111.87 109.80 96.40
Sites, in units of the cell vectors:
K (0.4089, 0.6589, 0.3179)
K (0.5911, 0.3411, 0.6821)
Ac (0.8366, 0.0866, 0.1731)
Ac (0.1634, 0.9134, 0.8269)
I (0.2759, 0.9617, 0.5802)
I (0.0698, 0.8105, 0.0791)
I (0.1957, 0.3815, 0.4198)
I (0.4907, 0.7314, 0.9209)
I (0.7241, 0.0383, 0.4198)
I (0.8043, 0.6185, 0.5802)
I (0.9302, 0.1895, 0.9209)
I (0.5093, 0.2686, 0.0791)

Symmetry: C2/c, No. 15
Total DFT energy (no corrections): -3.404 eV per atom

[20]
Computed, not measured: an optimized crystal structure of Ho4CdHg2 at the PBE level of DFT.

abc: 5.1804 5.1804 8.8497
angles: 72.98 72.98 60.00
Sites, in units of the cell vectors:
Hg (0.7484, 0.7484, 0.7549)
Hg (0.2516, 0.2516, 0.2451)
Ho (0.8709, 0.8709, 0.3874)
Ho (0.1291, 0.1291, 0.6126)
Ho (0.6186, 0.6186, 0.1442)
Ho (0.3814, 0.3814, 0.8558)
Cd (0.0000, 0.0000, 0.0000)

ΔH_f (0 K): -1.9 eV per formula unit
Symmetry: R-3m, No. 166

[21]
Computed, not measured: an optimized crystal structure of SbPPb at the PBE level of DFT.

abc: 4.2928 4.2928 8.8635
angles: 90.00 90.00 90.00
Sites, in units of the cell vectors:
Pb (0.0000, 0.5000, 0.6529)
Pb (0.5000, 0.0000, 0.3471)
P (0.0000, 0.5000, 0.3203)
P (0.5000, 0.0000, 0.6797)
Sb (0.5000, 0.0000, 0.9708)
Sb (0.0000, 0.5000, 0.0292)

Symmetry: P4/nmm, No. 129
Total DFT energy (no corrections): -4.278 eV per atom

[22]
Computed, not measured: an optimized crystal structure of Cs2RbHoBr6 at the PBE level of DFT.

abc: 8.3175 8.7319 11.9652
angles: 90.00 89.78 90.00
Sites, in units of the cell vectors:
Cs (0.0219, 0.9336, 0.2506)
Cs (0.5219, 0.5664, 0.7506)
Cs (0.9781, 0.0664, 0.7494)
Cs (0.4781, 0.4336, 0.2494)
Rb (0.5000, 0.0000, 0.0000)
Rb (0.0000, 0.5000, 0.5000)
Ho (0.5000, 0.0000, 0.5000)
Ho (0.0000, 0.5000, 0.0000)
Br (0.2734, 0.6778, 0.0432)
Br (0.7734, 0.8222, 0.5432)
Br (0.7266, 0.3222, 0.9568)
Br (0.2266, 0.1778, 0.4568)
Br (0.3274, 0.7318, 0.4496)
Br (0.8274, 0.7682, 0.9496)
Br (0.6726, 0.2682, 0.5504)
Br (0.1726, 0.2318, 0.0504)
Br (0.9083, 0.5268, 0.2245)
Br (0.4083, 0.9732, 0.7245)
Br (0.0917, 0.4732, 0.7755)
Br (0.5917, 0.0268, 0.2755)

Symmetry: P2_1/c, No. 14
Total DFT energy (no corrections): -3.598 eV per atom

[23]
Computed, not measured: an optimized crystal structure of BaAgRu2 at the PBE level of DFT.

abc: 5.5689 5.5689 2.9563
angles: 90.00 90.00 115.25
Site moments in Bohr magnetons follow the coordinates.
Sites, in units of the cell vectors:
Ag (0.5000, 0.0000, 0.5000)  0.01
Ba (0.0000, 0.5000, 0.5000)  -0.06
Ru (0.0000, 0.0000, 0.0000)  1.40
Ru (0.5000, 0.5000, 0.0000)  1.40

ΔH_f (0 K): 4.2 eV per formula unit
Symmetry: Cmmm, No. 65

[24]
Computed, not measured: an optimized crystal structure of Al3SiOs at the PBE level of DFT.

abc: 4.7276 4.7276 4.7276
angles: 90.00 90.00 90.00
Sites, in units of the cell vectors:
Si (0.5000, 0.5000, 0.5000)
Os (0.0000, 0.0000, 0.0000)
Al (0.0000, 0.5000, 0.0000)
Al (0.0000, 0.0000, 0.5000)
Al (0.5000, 0.0000, 0.0000)

Symmetry: Pm-3m, No. 221
Total DFT energy (no corrections): -5.121 eV per atom

| no. | spin magnetization (μB/atom) | DOS at the Fermi energy (states/eV/atom) |
| --- | --- | --- |
| 1 | 0.000 | 0.76 |
| 2 | 0.641 | 1.49 |
| 3 | 0.149 | 0.66 |
| 4 | 0.000 | 0.35 |
| 5 | 0.884 | 0.82 |
| 6 | 0.000 | 1.13 |
| 7 | 0.000 | 1.55 |
| 8 | 0.194 | 0.96 |
| 9 | 0.000 | 1.07 |
| 10 | 0.494 | 0.82 |
| 11 | 1.170 | 1.00 |
| 12 | 0.000 | 0.03 |
| 13 | 0.000 | 1.45 |
| 14 | 0.396 | 0.77 |
| 15 | 0.000 | 0.47 |
| 16 | 0.000 | 0.43 |
| 17 | 0.000 | 0.00 |
| 18 | 0.000 | 0.49 |
| 19 | 0.000 | 0.00 |
| 20 | 0.000 | 1.13 |
| 21 | 0.000 | 0.75 |
| 22 | 0.000 | 0.00 |
| 23 | 0.709 | 1.05 |
| 24 | 0.000 | 1.14 |